Entry 1:
# Cs2RbNaF GGA-PBE optimized geometry
# - Raw formation energy: -0.9246 eV/atom
# - Polymorph energy (0 for the lowest one): 0.0700 eV/atom
data_Cs2RbNaF
_chemical_formula_sum 'Cs2 Rb1 Na1 F1'
_cell_length_a 5.9046
_cell_length_b 5.9046
_cell_length_c 8.5547
_cell_angle_alpha 90.00
_cell_angle_beta 90.00
_cell_angle_gamma 90.00
_space_group_name_H-M_alt 'P 4/m m m'
_space_group_IT_number 123
_space_group_name_Hall '-P 4 2'
loop_
_atom_site_label
_atom_site_fract_x
_atom_site_fract_y
_atom_site_fract_z
_atom_site_occupancy
Cs1 0.0000 0.5000 0.0000 1
Rb1 0.0000 0.0000 0.5000 1
Na1 0.5000 0.5000 0.5000 1
F1 0.5000 0.5000 0.0000 1

=====

Entry 2:
# InPtSeN2 GGA-PBE optimized geometry
# - Raw formation energy: 1.3316 eV/atom
# - Polymorph energy (0 for the lowest one): 0.4038 eV/atom
data_InPtSeN2
_chemical_formula_sum 'In1 Pt1 Se1 N2'
_cell_length_a 3.8622
_cell_length_b 3.8622
_cell_length_c 5.2686
_cell_angle_alpha 90.00
_cell_angle_beta 90.00
_cell_angle_gamma 90.00
_space_group_name_H-M_alt 'P 4/m m m'
_space_group_IT_number 123
_space_group_name_Hall '-P 4 2'
loop_
_atom_site_label
_atom_site_fract_x
_atom_site_fract_y
_atom_site_fract_z
_atom_site_occupancy
In1 0.0000 0.0000 0.0000 1
Pt1 0.5000 0.5000 0.0000 1
Se1 0.5000 0.5000 0.5000 1
N1 0.0000 0.5000 0.5000 1

=====

Entry 3:
# TiIrRuRh GGA-PBE optimized geometry
# - Energy relative to the elements: -2.07 eV/f.u.
data_TiIrRuRh
_chemical_formula_sum 'Ti1 Ir1 Ru1 Rh1'
_cell_length_a 3.8391
_cell_length_b 3.8531
_cell_length_c 3.8973
_cell_angle_alpha 90.00
_cell_angle_beta 90.00
_cell_angle_gamma 90.00
_space_group_name_H-M_alt 'P m m m'
_space_group_IT_number 47
loop_
_space_group_symop_operation_xyz
'x,y,z'
'-x,-y,-z'
'-x,-y,z'
'x,y,-z'
'x,-y,-z'
'-x,y,z'
'-x,y,-z'
'x,-y,z'
loop_
_atom_site_label
_atom_site_fract_x
_atom_site_fract_y
_atom_site_fract_z
_atom_site_occupancy
Ti1 0.0000 0.0000 0.0000 1
Ir1 0.5000 0.0000 0.5000 1
Ru1 0.0000 0.5000 0.5000 1
Rh1 0.5000 0.5000 0.0000 1

=====

Entry 4:
# SrCr2Si GGA-PBE optimized geometry
# - Raw formation energy: 0.5933 eV/atom
data_SrCr2Si
_chemical_formula_sum 'Sr4 Cr8 Si4'
_cell_length_a 4.5345
_cell_length_b 4.5345
_cell_length_c 17.4425
_cell_angle_alpha 90.00
_cell_angle_beta 90.00
_cell_angle_gamma 90.00
_space_group_name_H-M_alt 'I 41/a m d'
_space_group_IT_number 141
loop_
_space_group_symop_operation_xyz
'x,y,z'
'-x,-y,-z'
'-y+1/4,x+3/4,z+1/4'
'y+1/4,-x+3/4,-z+1/4'
'-x+1/2,-y,z+1/2'
'x+1/2,y,-z+1/2'
'y+1/4,-x+1/4,z+3/4'
'-y+1/4,x+1/4,-z+3/4'
'x,-y,-z'
'-x,y,z'
'-y+1/4,-x+1/4,-z+3/4'
'y+1/4,x+1/4,z+3/4'
'-x+1/2,y,-z+1/2'
'x+1/2,-y,z+1/2'
'y+1/4,x+3/4,-z+1/4'
'-y+1/4,-x+3/4,z+1/4'
'x+1/2,y+1/2,z+1/2'
'-x+1/2,-y+1/2,-z+1/2'
'-y+3/4,x+1/4,z+3/4'
'y+3/4,-x+1/4,-z+3/4'
'-x,-y+1/2,z'
'x,y+1/2,-z'
'y+3/4,-x+3/4,z+1/4'
'-y+3/4,x+3/4,-z+1/4'
'x+1/2,-y+1/2,-z+1/2'
'-x+1/2,y+1/2,z+1/2'
'-y+3/4,-x+3/4,-z+1/4'
'y+3/4,x+3/4,z+1/4'
'-x,y+1/2,-z'
'x,-y+1/2,z'
'y+3/4,x+1/4,-z+3/4'
'-y+3/4,-x+1/4,z+3/4'
loop_
_atom_site_label
_atom_site_fract_x
_atom_site_fract_y
_atom_site_fract_z
_atom_site_occupancy
Sr1 0.0000 0.2500 0.3750 1
Cr1 0.0000 0.0000 0.0000 1
Si1 0.0000 0.2500 0.8750 1

=====

Entry 5:
Th3MgH3 after structural relaxation, computed with GGA-PBE.

```
data_Th3MgH3
_chemical_formula_sum 'Th6 Mg2 H6'
_cell_length_a 6.5860
_cell_length_b 6.5860
_cell_length_c 6.5860
_cell_angle_alpha 90.00
_cell_angle_beta 90.00
_cell_angle_gamma 90.00
_space_group_name_H-M_alt 'P m -3 n'
_space_group_IT_number 223
_space_group_name_Hall '-P 4n 2 3'
loop_
_atom_site_label
_atom_site_fract_x
_atom_site_fract_y
_atom_site_fract_z
_atom_site_occupancy
Th1 0.0000 0.2500 0.5000 1
Mg1 0.0000 0.0000 0.0000 1
H1 0.0000 0.5000 0.2500 1
```

=====

Entry 6:
# CeThN4 GGA-PBE optimized geometry
# - Raw formation energy: -1.1204 eV/atom
data_CeThN4
_chemical_formula_sum 'Ce2 Th2 N8'
_cell_length_a 6.8404
_cell_length_b 3.9433
_cell_length_c 6.8902
_cell_angle_alpha 90.00
_cell_angle_beta 97.27
_cell_angle_gamma 90.00
_space_group_name_H-M_alt 'C 1 m 1'
_space_group_IT_number 8
loop_
_space_group_symop_operation_xyz
'x,y,z'
'x,-y,z'
'x+1/2,y+1/2,z'
'x+1/2,-y+1/2,z'
loop_
_atom_site_label
_atom_site_fract_x
_atom_site_fract_y
_atom_site_fract_z
_atom_site_occupancy
Ce1 0.0000 0.0000 0.0000 1
Th1 0.1056 0.5000 0.5743 1
N1 0.1509 0.5000 0.9216 1
N2 0.2359 0.0000 0.3428 1
N3 0.3579 0.0000 0.2254 1
N4 0.4521 0.5000 0.6554 1

=====

Entry 7:
# Sr2AuF GGA-PBE optimized geometry
# - Raw formation energy: -1.6809 eV/atom
# - Polymorph energy (0 for the lowest one): 0.0254 eV/atom
data_Sr2AuF
_chemical_formula_sum 'Sr8 Au4 F4'
_cell_length_a 7.3178
_cell_length_b 7.3178
_cell_length_c 8.5417
_cell_angle_alpha 90.00
_cell_angle_beta 90.00
_cell_angle_gamma 90.00
_space_group_name_H-M_alt 'I -4 2 d'
_space_group_IT_number 122
_space_group_name_Hall 'I -4 2bw'
loop_
_atom_site_label
_atom_site_fract_x
_atom_site_fract_y
_atom_site_fract_z
_atom_site_occupancy
Sr1 0.1861 0.7500 0.1250 1
Au1 0.0000 0.0000 0.5000 1
F1 0.0000 0.0000 0.0000 1

=====

Entry 8:
# TaSn3F GGA-PBE optimized geometry
# - Raw formation energy: 0.0345 eV/atom
# - Polymorph energy (0 for the lowest one): 0.0000 eV/atom
data_TaSn3F
_chemical_formula_sum 'Ta1 Sn3 F1'
_cell_length_a 5.3510
_cell_length_b 5.3510
_cell_length_c 5.3510
_cell_angle_alpha 90.00
_cell_angle_beta 90.00
_cell_angle_gamma 90.00
_space_group_name_H-M_alt 'P m -3 m'
_space_group_IT_number 221
_space_group_name_Hall '-P 4 2 3'
loop_
_atom_site_label
_atom_site_fract_x
_atom_site_fract_y
_atom_site_fract_z
_atom_site_occupancy
Ta1 0.0000 0.0000 0.0000 1
Sn1 0.0000 0.0000 0.5000 1
F1 0.5000 0.5000 0.5000 1

=====

Entry 9:
# TbSmZr GGA-PBE optimized geometry
# - Energy relative to the elements: 0.33 eV/f.u.
# - Polymorph energy (0 for the lowest one): 0.0133 eV/atom
data_TbSmZr
_chemical_formula_sum 'Tb1 Sm1 Zr1'
_cell_length_a 3.4371
_cell_length_b 3.4371
_cell_length_c 8.5045
_cell_angle_alpha 90.00
_cell_angle_beta 90.00
_cell_angle_gamma 120.00
_space_group_name_H-M_alt 'P 3 m 1'
_space_group_IT_number 156
loop_
_space_group_symop_operation_xyz
'x,y,z'
'-y,x-y,z'
'-x+y,-x,z'
'-y,-x,z'
'-x+y,y,z'
'x,x-y,z'
loop_
_atom_site_label
_atom_site_fract_x
_atom_site_fract_y
_atom_site_fract_z
_atom_site_occupancy
Tb1 0.0000 0.0000 0.0000 1
Sm1 0.6667 0.3333 0.3727 1
Zr1 0.3333 0.6667 0.6888 1

=====

Entry 10:
# SnIr2Cl GGA-PBE optimized geometry
# - Raw formation energy: 0.6068 eV/atom
# - Polymorph energy (0 for the lowest one): 0.0000 eV/atom
data_SnIr2Cl
_chemical_formula_sum 'Sn4 Ir8 Cl4'
_cell_length_a 4.7591
_cell_length_b 4.7591
_cell_length_c 14.5296
_cell_angle_alpha 90.00
_cell_angle_beta 90.00
_cell_angle_gamma 90.00
_space_group_name_H-M_alt 'I -4 2 d'
_space_group_IT_number 122
_space_group_name_Hall 'I -4 2bw'
loop_
_atom_site_label
_atom_site_fract_x
_atom_site_fract_y
_atom_site_fract_z
_atom_site_occupancy
Sn1 0.0000 0.0000 0.0000 1
Ir1 0.1526 0.2500 0.6250 1
Cl1 0.0000 0.0000 0.5000 1

=====

Entry 11:
# Cs2NaHgPt GGA-PBE optimized geometry
# - Energy relative to the elements: -0.04 eV/f.u.
# - Polymorph energy (0 for the lowest one): 0.0348 eV/atom
data_Cs2NaHgPt
_chemical_formula_sum 'Cs2 Na1 Hg1 Pt1'
_cell_length_a 6.6811
_cell_length_b 6.6811
_cell_length_c 5.5739
_cell_angle_alpha 90.00
_cell_angle_beta 90.00
_cell_angle_gamma 90.00
_space_group_name_H-M_alt 'P 4/m m m'
_space_group_IT_number 123
_space_group_name_Hall '-P 4 2'
loop_
_atom_site_label
_atom_site_fract_x
_atom_site_fract_y
_atom_site_fract_z
_atom_site_occupancy
Cs1 0.0000 0.5000 0.0000 1
Na1 0.0000 0.0000 0.5000 1
Hg1 0.5000 0.5000 0.5000 1
Pt1 0.0000 0.0000 0.0000 1

=====

Entry 12:
# SrZrAlIr2 GGA-PBE optimized geometry
# - Energy relative to the elements: 2.07 eV/f.u.
# - Polymorph energy (0 for the lowest one): 1.1111 eV/atom
data_SrZrAlIr2
_chemical_formula_sum 'Sr1 Zr1 Al1 Ir2'
_cell_length_a 4.6839
_cell_length_b 4.6839
_cell_length_c 4.9916
_cell_angle_alpha 90.00
_cell_angle_beta 90.00
_cell_angle_gamma 90.00
_space_group_name_H-M_alt 'P 4/m m m'
_space_group_IT_number 123
_space_group_name_Hall '-P 4 2'
loop_
_atom_site_label
_atom_site_fract_x
_atom_site_fract_y
_atom_site_fract_z
_atom_site_occupancy
Sr1 0.0000 0.0000 0.0000 1
Zr1 0.5000 0.5000 0.0000 1
Al1 0.5000 0.5000 0.5000 1
Ir1 0.0000 0.5000 0.5000 1

=====

Number 1: calculated total energy -2.10 eV per atom. Number 2: calculated total energy -4.45 eV per atom. Number 3: calculated total energy -8.86 eV per atom. Number 4: calculated total energy -5.99 eV per atom. Number 5: calculated total energy -4.99 eV per atom. Number 6: calculated total energy -8.90 eV per atom. Number 7: calculated total energy -3.81 eV per atom. Number 8: calculated total energy -5.11 eV per atom. Number 9: calculated total energy -5.86 eV per atom. Number 10: calculated total energy -5.29 eV per atom. Number 11: calculated total energy -1.88 eV per atom. Number 12: calculated total energy -5.93 eV per atom.